Below is Y5Hg2Ge2 after structural relaxation, with properties calculated at the PBE level.

The calculation puts the density of states at the Fermi level at 6.649 states/eV/f.u. As for the total energy: -5.3571 eV/atom. The value obtained for the calculated formation energy is -0.673 eV per atom. Its space-group type is Cmce (64).

The structure in POSCAR format:
```
Y5Hg2Ge2
1.0
7.8993 -3.8410 0.0000
7.8993 3.8410 0.0000
0.0000 0.0000 7.6928
Y Hg Ge
10 4 4
Cartesian
0.0000 0.0000 0.0000
5.8595 2.4777 5.1583
5.8595 1.3633 1.3119
9.9392 2.4777 5.1583
9.9392 1.3633 1.3119
7.8993 0.0000 3.8464
5.8595 -1.3633 6.3809
5.8595 -2.4777 2.5345
9.9392 -1.3633 6.3809
9.9392 -2.4777 2.5345
3.3751 0.0000 0.0000
4.5243 0.0000 3.8464
11.2744 0.0000 3.8464
12.4236 0.0000 0.0000
7.8993 2.8511 2.8278
7.8993 0.9899 6.6742
7.8993 -0.9899 1.0186
7.8993 -2.8511 4.8650
```


Below is GaCu2Au5 after structural relaxation, with properties calculated at the PBE level.

The distance to the lowest polymorph of the same formula comes out at 251.6 meV per atom. The calculation puts the density of states at the Fermi level at 2.470 states/eV/f.u. As for the total energy: -3.2653 eV/atom. The value obtained for the calculated formation energy is 0.185 eV per atom. Its space-group type is Cmcm (63).

The structure in POSCAR format:
```
GaCu2Au5
1.0
2.0698 -7.9950 0.0000
2.0698 7.9950 0.0000
0.0000 0.0000 10.9574
Ga Cu Au
2 4 10
Cartesian
2.0698 5.4770 8.2180
2.0698 -5.4770 2.7393
2.0698 5.9399 0.5803
2.0698 5.9399 4.8984
2.0698 -5.9399 6.0590
2.0698 -5.9399 10.3771
2.0698 7.6357 6.8308
2.0698 7.6357 9.6053
2.0698 4.4240 2.7393
2.0698 3.6859 6.3379
2.0698 3.6859 10.0981
2.0698 -3.6859 0.8592
2.0698 -3.6859 4.6194
2.0698 -4.4240 8.2180
2.0698 -7.6357 1.3521
2.0698 -7.6357 4.1266
```


Below is InCoTc2Bi after structural relaxation, with properties calculated at the PBE level.

The calculation puts the density of states at the Fermi level at 4.984 states/eV/f.u. As for the total energy: -5.1156 eV/atom. The value obtained for the calculated formation energy is 1.776 eV per atom. Its space-group type is P4/mmm (123).

The structure in POSCAR format:
```
InCoTc2Bi
1.0
5.0474 0.0000 0.0000
0.0000 5.0474 0.0000
0.0000 0.0000 4.6957
In Co Tc Bi
1 1 2 1
Cartesian
0.0000 0.0000 0.0000
2.5237 2.5237 0.0000
0.0000 2.5237 2.3479
2.5237 0.0000 2.3479
2.5237 2.5237 2.3479
```